No. 1
NaNpBr5: relaxed, PBE.

Cell and atoms, written as POSCAR:
```
NaNpBr5
1.0
7.168 1.026 -2.108
-1.890 7.094 -1.726
-0.716 -0.950 11.152
Br Na Np
10 2 2
Cartesian
1.655 2.000 -0.873
-1.888 4.710 7.022
1.118 2.443 5.792
4.375 1.234 7.716
3.445 4.727 1.526
0.187 5.936 -0.398
2.907 5.170 8.191
4.765 1.859 3.734
6.451 2.460 0.296
-0.202 5.312 3.584
1.624 0.111 7.569
2.939 7.059 -0.251
-1.303 3.072 4.713
0.000 0.000 0.000
```

Calculated values
E_tot	-31.6	eV per formula unit
SG	No. 15


No. 2
NaNp2Br8: relaxed, PBE.

Cell and atoms, written as POSCAR:
```
NaNp2Br8
1.0
7.355 -0.406 -0.308
-0.690 8.001 0.637
-0.690 2.768 7.534
Br Np Na
8 2 1
Cartesian
1.359 4.041 3.066
4.503 2.242 4.709
5.689 1.416 1.074
4.615 6.322 4.797
1.472 8.121 3.153
0.285 8.947 6.788
4.503 5.139 0.891
1.472 5.223 6.972
3.434 2.673 2.028
2.541 7.689 5.834
0.000 0.000 0.000
```

Calculated values
E_tot	-54.7	eV per formula unit
SG	No. 12


Computed density of states at the Fermi level (states/eV/f.u.) in order:
6.173, 12.278